Below is a geometry-optimized RbSc4S6 structure, with properties calculated at the PBE level.

```
RbSc4S6
1.0
3.767 0.000 0.000
-1.883 6.280 0.000
0.000 0.000 20.080
Sc Rb S
8 2 12
direct
0.131 0.263 0.039
0.403 0.807 0.131
0.597 0.193 0.869
0.597 0.193 0.631
0.869 0.737 0.961
0.131 0.263 0.461
0.403 0.807 0.369
0.869 0.737 0.539
0.343 0.685 0.750
0.657 0.315 0.250
0.228 0.457 0.921
0.035 0.070 0.353
0.965 0.930 0.853
0.772 0.543 0.079
0.640 0.280 0.750
0.500 0.000 0.000
0.360 0.720 0.250
0.228 0.457 0.579
0.772 0.543 0.421
0.500 0.000 0.500
0.965 0.930 0.647
0.035 0.070 0.147
```

Output
E_form (uncorrected)   -1.79 eV per atom
Total moment   0.00 Bohr magnetons per cell
Density   3.2 g/cm3